Computed, not measured: an optimized crystal structure of ThRhI at the PBE level of DFT.

Uncorrected formation energy: -894 meV/atom
Uncorrected energy: -6.3346 eV per atom
Symmetry: No. 4

a b c (Å): 4.049 4.127 11.942
angles (deg): 89.99 109.48 90.00
Atoms (fractional coordinates):
Th1 0.681 0.072 0.409
Th2 0.955 0.572 0.179
Rh1 0.422 0.072 0.145
Rh2 0.214 0.572 0.443
I1 0.408 0.073 0.640
I2 0.228 0.573 0.949